This record from the Alexandria database describes a crystal of BiMoO2F relaxed with PBEsol. The functional is meta-GGA SCAN.

Properties
The symmetry is P4/mmm, No. 123. The uncorrected formation energy is -23.91 kJ per mole of atoms.

Geometry as extended XYZ:
```
5
Lattice="4.379 0.000 0.000 0.000 4.379 0.000 0.000 0.000 4.399" Properties=species:S:1:pos:R:3 pbc="T T T"
Bi 0.000 0.000 0.000
Mo 2.190 2.190 2.199
O 0.000 2.190 0.000
O 2.190 0.000 0.000
F 0.000 0.000 2.199
```

=====

This record from the Alexandria database describes a crystal of ReNiOs2 relaxed with PBEsol. The functional is meta-GGA SCAN.

Properties
The calculation puts the formation energy at 0.70 eV per formula unit. The symmetry is R3m, No. 160. Its energy relative to the lowest polymorph listed for this composition is 0.24 eV/f.u.

Geometry as extended XYZ:
```
4
Lattice="1.345 0.776 8.592 -1.345 0.776 8.592 0.000 -1.553 8.592" Properties=species:S:1:pos:R:3 pbc="T T T"
Re 0.000 0.000 0.000
Ni 0.000 0.000 19.284
Os 0.000 0.000 6.385
Os 0.000 0.000 12.770
```

=====

This record from the Alexandria database describes a crystal of AgPt3 relaxed with PBEsol. The functional is meta-GGA SCAN.

Properties
The calculation puts the formation energy at 0.22 eV per formula unit. The symmetry is Imm2, No. 44.

Geometry as extended XYZ:
```
4
Lattice="-1.366 4.620 2.422 1.366 -4.620 2.422 1.366 4.620 -2.422" Properties=species:S:1:pos:R:3 pbc="T T T"
Ag 0.000 0.000 0.000
Pt 1.366 2.344 -0.882
Pt 0.000 4.620 0.026
Pt 0.000 2.276 1.540
```

=====

This record from the Alexandria database describes a crystal of Cs2ZrCd relaxed with PBEsol. The functional is meta-GGA SCAN.

Properties
The calculation puts the formation energy at 4.14 eV per formula unit. The symmetry is Fm-3m, No. 225.

Geometry as extended XYZ:
```
4
Lattice="0.000 4.402 4.402 4.402 0.000 4.402 4.402 4.402 0.000" Properties=species:S:1:pos:R:3 pbc="T T T"
Cs 2.201 2.201 2.201
Cs 6.602 6.602 6.602
Zr 0.000 0.000 0.000
Cd 4.402 4.402 4.402
```

=====

This record from the Alexandria database describes a crystal of Cd3Se relaxed with PBEsol. The functional is meta-GGA SCAN.

Properties
The symmetry is I4/mmm, No. 139. The uncorrected formation energy is -5.03 kJ per mole of atoms.

Geometry as extended XYZ:
```
4
Lattice="-1.983 1.983 5.826 1.983 -1.983 5.826 1.983 1.983 -5.826" Properties=species:S:1:pos:R:3 pbc="T T T"
Cd 0.000 0.000 0.000
Cd 1.983 0.000 2.913
Cd 0.000 1.983 2.913
Se 0.000 0.000 5.826
```

=====

This record from the Alexandria database describes a crystal of CsCa2Ga2 relaxed with PBEsol. The functional is meta-GGA SCAN.

Properties
The calculation puts the formation energy at -0.80 eV per formula unit. The symmetry is I4/mmm, No. 139. Its energy relative to the lowest polymorph listed for this composition is 0.00 eV/f.u.

Geometry as extended XYZ:
```
5
Lattice="-2.796 2.796 5.213 2.796 -2.796 5.213 2.796 2.796 -5.213" Properties=species:S:1:pos:R:3 pbc="T T T"
Cs 0.000 0.000 0.000
Ca 2.796 0.000 2.607
Ca 0.000 2.796 2.607
Ga 0.000 0.000 4.017
Ga 0.000 0.000 6.409
```

=====

This record from the Alexandria database describes a crystal of HgHPt2I relaxed with PBEsol. The functional is meta-GGA SCAN.

Properties
The symmetry is P4/mmm, No. 123. Its total energy is -49.042 eV per atom.

Geometry as extended XYZ:
```
5
Lattice="5.062 0.000 0.000 0.000 5.062 0.000 0.000 0.000 3.519" Properties=species:S:1:pos:R:3 pbc="T T T"
Hg 0.000 0.000 0.000
H 2.531 2.531 0.000
Pt 0.000 2.531 1.760
Pt 2.531 0.000 1.760
I 2.531 2.531 1.760
```

=====

This record from the Alexandria database describes a crystal of LiFePO4 relaxed with PBEsol. The functional is meta-GGA SCAN.

Properties
The symmetry is P-1, No. 2. The uncorrected formation energy is -213.56 kJ per mole of atoms. Its energy relative to the lowest polymorph listed for this composition is 0.24 eV/f.u.

Geometry as extended XYZ:
```
28
Lattice="5.780 0.000 0.000 -1.263 6.896 0.000 -0.912 -3.055 8.674" Properties=species:S:1:pos:R:3 pbc="T T T"
Li -0.207 -0.715 2.179
Li -0.271 2.359 3.393
Li 3.877 1.482 5.281
Li 3.813 4.556 6.495
Fe 1.440 3.287 1.197
Fe 1.422 5.877 2.110
Fe 2.183 -2.036 6.564
Fe 2.165 0.554 7.477
P -0.759 2.280 8.054
P 0.950 -0.011 4.806
P 2.655 3.852 3.868
P 4.364 1.561 0.620
O -0.201 2.199 1.308
O -0.219 0.941 4.702
O -0.137 5.704 0.853
O 0.614 -1.252 5.693
O -0.359 3.517 7.239
O 1.330 -0.469 3.377
O 0.420 1.235 8.134
O 1.411 3.224 3.162
O 2.194 0.618 5.512
O 3.186 2.606 0.540
O 2.275 4.310 5.297
O 3.964 0.325 1.435
O 2.991 5.093 2.981
O 3.742 -1.863 7.821
O 3.824 2.900 3.972
O 3.807 1.642 7.366
```

=====

This record from the Alexandria database describes a crystal of KTa2SiH relaxed with PBEsol. The functional is meta-GGA SCAN.

Properties
The symmetry is P4/mmm, No. 123. Its total energy is -29.252 eV per atom.

Geometry as extended XYZ:
```
5
Lattice="4.794 0.000 0.000 0.000 4.794 0.000 0.000 0.000 5.119" Properties=species:S:1:pos:R:3 pbc="T T T"
K 0.000 0.000 0.000
Ta 0.000 2.397 2.559
Ta 2.397 0.000 2.559
Si 2.397 2.397 2.559
H 2.397 2.397 0.000
```

=====

This record from the Alexandria database describes a crystal of Cu3SeI relaxed with PBEsol. The functional is meta-GGA SCAN.

Properties
The symmetry is Pm-3m, No. 221. The uncorrected formation energy is 86.18 kJ per mole of atoms. Its energy relative to the lowest polymorph listed for this composition is 4.95 eV/f.u.

Geometry as extended XYZ:
```
5
Lattice="4.800 0.000 0.000 0.000 4.800 0.000 0.000 0.000 4.800" Properties=species:S:1:pos:R:3 pbc="T T T"
Cu 0.000 0.000 2.400
Cu 0.000 2.400 0.000
Cu 2.400 0.000 0.000
Se 2.400 2.400 2.400
I 0.000 0.000 0.000
```

=====

This record from the Alexandria database describes a crystal of SiRhBr relaxed with PBEsol. The functional is meta-GGA SCAN.

Properties
The symmetry is F-43m, No. 216. The uncorrected formation energy is 108.73 kJ per mole of atoms. Its energy relative to the lowest polymorph listed for this composition is 2.82 eV/f.u.

Geometry as extended XYZ:
```
3
Lattice="0.000 3.021 3.021 3.021 0.000 3.021 3.021 3.021 0.000" Properties=species:S:1:pos:R:3 pbc="T T T"
Si 0.000 0.000 0.000
Rh 3.021 3.021 3.021
Br 1.511 1.511 1.511
```

=====

This record from the Alexandria database describes a crystal of La5As3 relaxed with PBEsol. The functional is meta-GGA SCAN.

Properties
The calculation puts the formation energy at -9.99 eV per formula unit. The symmetry is P6_3/mcm, No. 193. Its energy relative to the lowest polymorph listed for this composition is 0.00 eV/f.u.

Geometry as extended XYZ:
```
16
Lattice="8.967 0.000 0.000 -4.483 7.766 0.000 0.000 0.000 6.327" Properties=species:S:1:pos:R:3 pbc="T T T"
La -1.169 2.024 1.582
La -3.315 5.741 4.746
La 2.337 0.000 1.582
La 1.169 2.024 4.746
La 0.000 5.177 0.000
La 0.000 5.177 3.164
La 4.483 2.589 0.000
La 4.483 2.589 3.164
La 6.630 0.000 4.746
La 3.315 5.741 1.582
As -1.702 2.947 4.746
As -2.782 4.818 1.582
As 3.403 0.000 4.746
As 1.702 2.947 1.582
As 5.564 0.000 1.582
As 2.782 4.818 4.746
```

=====

This record from the Alexandria database describes a crystal of TaMnGe2W relaxed with PBEsol. The functional is meta-GGA SCAN.

Properties
The calculation puts the formation energy at 6.60 eV per formula unit. The symmetry is P4/mmm, No. 123.

Geometry as extended XYZ:
```
5
Lattice="4.864 0.000 0.000 0.000 4.864 0.000 0.000 0.000 4.885" Properties=species:S:1:pos:R:3 pbc="T T T"
Ta 0.000 0.000 0.000
Mn 2.432 2.432 2.442
Ge 0.000 2.432 0.000
Ge 2.432 0.000 0.000
W 0.000 0.000 2.442
```

=====

This record from the Alexandria database describes a crystal of AgPtPb2 relaxed with PBEsol. The functional is meta-GGA SCAN.

Properties
The calculation puts the formation energy at 0.00 eV per formula unit. The symmetry is Amm2, No. 38. Its energy relative to the lowest polymorph listed for this composition is 0.00 eV/f.u.

Geometry as extended XYZ:
```
4
Lattice="4.441 0.000 0.000 0.000 1.856 5.247 0.000 -1.856 5.247" Properties=species:S:1:pos:R:3 pbc="T T T"
Ag 0.000 0.000 0.000
Pt 2.221 0.000 1.700
Pb 0.000 0.000 7.611
Pb 2.221 0.000 4.605
```

=====

no.,size of the total moment (μB per cell),V (Å³/cell),N(E_F) (states/eV per cell)
1,4.63,84.4,3.63
2,0.00,53.8,4.56
3,0.01,61.1,4.21
4,4.47,170.6,8.47
5,0.00,91.7,1.03
6,0.00,163.1,1.78
7,0.00,90.2,1.46
8,16.00,345.7,6.22
9,3.26,117.6,5.22
10,0.00,110.6,0.49
11,0.00,55.2,0.16
12,0.00,440.6,16.18
13,3.21,115.6,3.02
14,0.00,86.5,1.56